Entry from Alexandria: a PBEsol-optimized structure of LaSc (meta-GGA SCAN).

Energy of formation (eV per atom): 0.09
Space group: P-6m2 (187)
Electronic total energy (eV/atom): -28.5849
Calculated volume (Å³/f.u.): 56.55
DOS at the Fermi energy (states/eV/cell): 9.56
ρ (kg/m³): 5399
E above lowest polymorph (meV per atom): 19

The structure in POSCAR format:
```
LaSc
1.0
3.417 0.000 0.000
-1.709 2.960 0.000
0.000 0.000 16.773
La Sc
3 3
Direct
0.333 0.667 0.000
0.000 0.000 0.187
0.000 0.000 0.813
0.333 0.667 0.647
0.000 0.000 0.500
0.333 0.667 0.353
```

=====

Entry from Alexandria: a PBEsol-optimized structure of LaSc (meta-GGA SCAN).

Energy of formation (eV per atom): 0.08
Space group: P-3m1 (164)
Electronic total energy (eV/atom): -28.5918
Calculated volume (Å³/f.u.): 57.08
DOS at the Fermi energy (states/eV/cell): 5.04
ρ (kg/m³): 5349
E above lowest polymorph (meV per atom): 13

The structure in POSCAR format:
```
LaSc
1.0
3.429 0.000 0.000
-1.714 2.969 0.000
0.000 0.000 11.214
La Sc
2 2
Direct
0.333 0.667 0.855
0.667 0.333 0.145
0.667 0.333 0.609
0.333 0.667 0.391
```

=====

Entry from Alexandria: a PBEsol-optimized structure of LaScSe2 (meta-GGA SCAN).

Space group: I-4m2 (119)
Electronic total energy (eV/atom): -25.7976
Formation energy (no corrections) (eV per atom): -1.42
Calculated volume (Å³/f.u.): 98.96
DOS at the Fermi energy (states/eV/cell): 3.14
ρ (kg/m³): 5735
E above lowest polymorph (meV per atom): 543

The structure in POSCAR format:
```
LaScSe2
1.0
-3.322 -2.242 0.335
1.659 -1.999 3.071
-1.518 6.188 2.215
Sc Se La
1 2 1
Direct
0.250 0.750 0.500
0.000 0.000 0.000
0.750 0.250 0.500
0.500 0.500 0.000
```

=====

Entry from Alexandria: a PBEsol-optimized structure of LaScSe2 (meta-GGA SCAN).

Space group: R-3m (166)
Electronic total energy (eV/atom): -26.3411
Formation energy (no corrections) (eV per atom): -1.97
Calculated volume (Å³/f.u.): 92.67
DOS at the Fermi energy (states/eV/cell): 2.07
ρ (kg/m³): 6125
E above lowest polymorph (meV per atom): 0

The structure in POSCAR format:
```
LaScSe2
1.0
-3.384 -0.337 2.053
-1.806 -3.526 0.287
1.815 -2.645 6.401
La Se Sc
1 2 1
Direct
0.500 0.500 0.500
0.739 0.739 0.784
0.261 0.261 0.216
0.000 0.000 0.000
```

=====

Entry from Alexandria: a PBEsol-optimized structure of LaScSe2 (meta-GGA SCAN).

Space group: Immm (71)
Electronic total energy (eV/atom): -26.0301
Formation energy (no corrections) (eV per atom): -1.66
Calculated volume (Å³/f.u.): 87.98
DOS at the Fermi energy (states/eV/cell): 1.80
ρ (kg/m³): 6451
E above lowest polymorph (meV per atom): 311

The structure in POSCAR format:
```
LaScSe2
1.0
-3.567 -2.913 0.418
-0.388 -3.683 -3.402
0.997 -4.661 1.603
La Se Sc
1 2 1
Direct
0.500 0.000 0.000
0.731 0.269 0.269
0.269 0.731 0.731
0.000 0.500 0.500
```

=====

Entry from Alexandria: a PBEsol-optimized structure of LaScSe2 (meta-GGA SCAN).

Space group: R3m (160)
Electronic total energy (eV/atom): -26.3278
Formation energy (no corrections) (eV per atom): -1.95
Calculated volume (Å³/f.u.): 93.57
DOS at the Fermi energy (states/eV/cell): 1.16
ρ (kg/m³): 6065
E above lowest polymorph (meV per atom): 13

The structure in POSCAR format:
```
LaScSe2
1.0
3.921 0.000 0.000
1.961 3.396 0.000
1.961 1.132 7.027
Se Sc La
2 1 1
Direct
0.928 0.928 0.215
0.739 0.739 0.783
0.329 0.329 0.013
0.504 0.504 0.489
```

=====

Entry from Alexandria: a PBEsol-optimized structure of LaSc3Si (meta-GGA SCAN).

Space group: Pm-3m (221)
Electronic total energy (eV/atom): -19.2317
Formation energy (no corrections) (eV per atom): -0.07
Calculated volume (Å³/f.u.): 132.04
DOS at the Fermi energy (states/eV/cell): 8.87
ρ (kg/m³): 3796

The structure in POSCAR format:
```
LaSc3Si
1.0
-3.717 -2.152 -2.735
3.361 -3.259 -2.004
-0.903 -3.268 3.799
La Sc Si
1 3 1
Direct
0.500 0.500 0.500
0.000 0.000 0.500
0.000 0.500 0.000
0.500 0.000 0.000
0.000 0.000 0.000
```

=====

Entry from Alexandria: a PBEsol-optimized structure of La2ScSi (meta-GGA SCAN).

Space group: Immm (71)
Electronic total energy (eV/atom): -27.8172
Formation energy (no corrections) (eV per atom): -0.20
Calculated volume (Å³/f.u.): 100.92
DOS at the Fermi energy (states/eV/cell): 3.49
ρ (kg/m³): 5773

The structure in POSCAR format:
```
La2ScSi
1.0
-0.642 3.962 0.445
-3.608 -0.281 -2.705
-1.087 -2.853 5.519
La Sc Si
2 1 1
Direct
0.211 0.211 0.421
0.789 0.789 0.579
0.000 0.500 0.000
0.500 0.000 0.000
```